1.
Density functional theory data (PBE) for a relaxed structure of K2ScU3O12.

Cell: 7.662 7.662 7.662 Å, 63.14 63.14 63.14°
Atoms (fractional coordinates):
K: 0.160 0.160 0.160
K: 0.840 0.840 0.840
Sc: 0.500 0.500 0.500
U: 0.000 0.500 0.500
U: 0.500 0.000 0.500
U: 0.500 0.500 0.000
O: 0.183 0.564 0.564
O: 0.184 0.184 0.554
O: 0.184 0.554 0.184
O: 0.436 0.436 0.817
O: 0.436 0.817 0.436
O: 0.446 0.816 0.816
O: 0.554 0.184 0.184
O: 0.564 0.183 0.564
O: 0.564 0.564 0.183
O: 0.816 0.446 0.816
O: 0.816 0.816 0.446
O: 0.817 0.436 0.436

* E_form (uncorrected): -2.86 eV per atom
* E_tot: -153.4 eV/cell

2.
Density functional theory data (PBE) for a relaxed structure of TaTe2P.

Cell: 3.126 3.126 9.945 Å, 90.00 90.00 111.85°
Atoms (fractional coordinates):
Ta: 0.000 0.000 0.000
Te: 0.500 0.500 0.227
Te: 0.500 0.500 0.773
P: 0.000 0.000 0.500

* E_form (uncorrected): 0.60 eV per atom
* E_tot: -21.2 eV/cell

3.
Density functional theory data (PBE) for a relaxed structure of Sc3ZnC.

Cell: 3.194 5.642 5.642 Å, 104.08 90.00 90.00°
Atoms (fractional coordinates):
Sc: 0.000 0.000 0.000
Sc: 0.500 0.142 0.500
Sc: 0.500 0.500 0.142
Zn: 0.500 0.656 0.656
C: 0.000 0.319 0.319

* E_form: -0.05 eV per atom
* E_tot: -29.7 eV/cell

4.
Density functional theory data (PBE) for a relaxed structure of LiAlIr.

Cell: 4.074 4.074 4.068 Å, 119.84 119.84 59.89°
Atoms (fractional coordinates):
Li: 0.000 0.000 0.000
Al: 0.250 0.250 0.750
Ir: 0.500 0.500 0.499

* E_form: -0.21 eV per atom
* E_tot: -15.2 eV/cell

5.
Density functional theory data (PBE) for a relaxed structure of La2Pm5Sc2.

Cell: 6.168 6.226 8.028 Å, 75.01 82.61 80.20°
Atoms (fractional coordinates):
La: 0.117 0.057 0.282
La: 0.883 0.943 0.718
Pm: 0.000 0.500 0.500
Pm: 0.229 0.612 0.051
Pm: 0.335 0.167 0.822
Pm: 0.665 0.833 0.178
Pm: 0.771 0.388 0.949
Sc: 0.448 0.717 0.607
Sc: 0.552 0.283 0.393

* E_form: 0.05 eV per atom
* E_tot: -45.8 eV/cell

6.
Density functional theory data (PBE) for a relaxed structure of Sm7HoIn2.

Cell: 9.186 9.186 5.392 Å, 90.00 90.00 119.35°
Atoms (fractional coordinates):
Sm: 0.000 0.000 0.000
Sm: 0.198 0.439 0.000
Sm: 0.276 0.724 0.500
Sm: 0.439 0.198 0.000
Sm: 0.561 0.802 0.000
Sm: 0.724 0.276 0.500
Sm: 0.802 0.561 0.000
Ho: 0.500 0.500 0.500
In: 0.196 0.804 0.000
In: 0.804 0.196 0.000

* E_form: 0.33 eV per atom
* E_tot: -39.8 eV/cell

7.
Density functional theory data (PBE) for a relaxed structure of Cr2NiMo.

Cell: 4.931 4.931 2.515 Å, 100.56 100.56 117.84°
Atoms (fractional coordinates):
Cr: 0.000 0.500 0.000
Cr: 0.500 0.000 0.000
Ni: 0.000 0.000 0.500
Mo: 0.500 0.500 0.500

* E_form: 0.18 eV per atom
* E_tot: -35.1 eV/cell

8.
Density functional theory data (PBE) for a relaxed structure of La2CoNi3.

Cell: 6.197 6.197 6.197 Å, 139.87 130.85 65.25°
Atoms (fractional coordinates):
La: 0.181 0.181 0.000
La: 0.819 0.819 0.000
Co: 0.500 0.500 0.000
Ni: 0.000 0.500 0.500
Ni: 0.388 0.888 0.500
Ni: 0.612 0.112 0.500

* E_form: 0.01 eV per atom
* E_tot: -34.2 eV/cell

9.
Density functional theory data (PBE) for a relaxed structure of ErCo4Cu.

Cell: 4.870 4.870 4.870 Å, 60.00 60.00 60.00°
Atoms (fractional coordinates):
Er: 0.000 0.000 0.000
Co: 0.376 0.376 0.376
Co: 0.376 0.376 0.872
Co: 0.376 0.872 0.376
Co: 0.872 0.376 0.376
Cu: 0.750 0.750 0.750

* E_form: -0.08 eV per atom
* E_tot: -37.5 eV/cell

10.
Density functional theory data (PBE) for a relaxed structure of Ba2Zn4Cd3Hg.

Cell: 4.820 4.820 11.245 Å, 90.00 90.00 90.00°
Atoms (fractional coordinates):
Ba: 0.000 0.500 0.246
Ba: 0.500 0.000 0.754
Zn: 0.000 0.000 0.000
Zn: 0.000 0.500 0.632
Zn: 0.500 0.000 0.368
Zn: 0.500 0.500 0.000
Cd: 0.000 0.500 0.877
Cd: 0.500 0.000 0.123
Cd: 0.500 0.500 0.500
Hg: 0.000 0.000 0.500

* E_form: -0.22 eV per atom
* E_tot: -14.2 eV/cell

11.
Density functional theory data (PBE) for a relaxed structure of Pm3DyPd2.

Cell: 8.633 8.633 8.633 Å, 132.00 71.69 130.18°
Atoms (fractional coordinates):
Pm: 0.018 0.750 0.268
Pm: 0.250 0.250 0.000
Pm: 0.482 0.750 0.732
Pm: 0.518 0.250 0.268
Pm: 0.750 0.750 0.000
Pm: 0.982 0.250 0.732
Dy: 0.000 0.500 0.500
Dy: 0.500 0.000 0.500
Pd: 0.138 0.211 0.349
Pd: 0.362 0.711 0.072
Pd: 0.638 0.289 0.928
Pd: 0.862 0.789 0.651

* E_form: -0.44 eV per atom
* E_tot: -63.8 eV/cell

12.
Density functional theory data (PBE) for a relaxed structure of NaSrAgBr4.

Cell: 8.707 8.707 8.707 Å, 121.21 117.75 90.93°
Atoms (fractional coordinates):
Na: 0.500 0.000 0.000
Na: 0.500 0.500 0.500
Sr: 0.000 0.000 0.000
Sr: 0.500 0.000 0.500
Ag: 0.103 0.353 0.750
Ag: 0.897 0.647 0.250
Br: 0.252 0.247 0.495
Br: 0.252 0.757 0.005
Br: 0.265 0.249 0.016
Br: 0.267 0.751 0.516
Br: 0.733 0.249 0.484
Br: 0.735 0.751 0.984
Br: 0.748 0.243 0.995
Br: 0.748 0.753 0.505

* E_form (uncorrected): -1.44 eV per atom
* E_tot: -45.2 eV/cell

13.
Density functional theory data (PBE) for a relaxed structure of CsPaF5.

Cell: 7.657 7.678 7.730 Å, 109.88 110.05 108.04°
Atoms (fractional coordinates):
Cs: 0.244 0.262 0.006
Cs: 0.756 0.738 0.994
Pa: 0.000 0.500 0.500
Pa: 0.500 0.000 0.500
F: 0.032 0.785 0.725
F: 0.231 0.688 0.419
F: 0.261 0.525 0.753
F: 0.272 0.009 0.247
F: 0.438 0.191 0.725
F: 0.562 0.809 0.275
F: 0.728 0.991 0.753
F: 0.739 0.475 0.247
F: 0.769 0.312 0.581
F: 0.968 0.215 0.275

* E_form (uncorrected): -3.57 eV per atom
* E_tot: -89.4 eV/cell

14.
Density functional theory data (PBE) for a relaxed structure of Ho3Fe2B9.

Cell: 7.761 7.761 7.761 Å, 156.73 122.44 62.93°
Atoms (fractional coordinates):
Ho: 0.000 0.000 0.000
Ho: 0.265 0.265 0.000
Ho: 0.735 0.735 0.000
Fe: 0.333 0.500 0.833
Fe: 0.667 0.500 0.167
B: 0.060 0.370 0.689
B: 0.151 0.880 0.271
B: 0.319 0.630 0.689
B: 0.392 0.120 0.271
B: 0.500 0.000 0.500
B: 0.608 0.880 0.729
B: 0.681 0.370 0.311
B: 0.849 0.120 0.729
B: 0.940 0.630 0.311

* E_form: -0.28 eV per atom
* E_tot: -94.7 eV/cell

15.
Density functional theory data (PBE) for a relaxed structure of Pm2Y3S4.

Cell: 3.929 3.929 16.107 Å, 90.00 90.00 120.00°
Atoms (fractional coordinates):
Pm: 0.333 0.667 0.207
Pm: 0.667 0.333 0.793
Y: 0.000 0.000 0.000
Y: 0.333 0.667 0.591
Y: 0.667 0.333 0.409
S: 0.000 0.000 0.312
S: 0.000 0.000 0.688
S: 0.333 0.667 0.902
S: 0.667 0.333 0.098

* E_form (uncorrected): -1.78 eV per atom
* E_tot: -61.4 eV/cell

16.
Density functional theory data (PBE) for a relaxed structure of Ho3Pa2Co4.

Cell: 5.894 5.894 9.013 Å, 100.28 100.28 36.35°
Atoms (fractional coordinates):
Ho: 0.000 0.000 0.000
Ho: 0.378 0.378 0.617
Ho: 0.622 0.622 0.383
Pa: 0.320 0.320 0.222
Pa: 0.680 0.680 0.778
Co: 0.079 0.079 0.616
Co: 0.297 0.297 0.927
Co: 0.703 0.703 0.073
Co: 0.921 0.921 0.384

* E_form: -0.32 eV per atom
* E_tot: -64.0 eV/cell

17.
Density functional theory data (PBE) for a relaxed structure of MnAg2Te.

Cell: 9.812 9.812 9.812 Å, 18.47 18.47 18.47°
Atoms (fractional coordinates):
Mn: 0.000 0.000 0.000
Ag: 0.261 0.261 0.261
Ag: 0.739 0.739 0.739
Te: 0.500 0.500 0.500

* E_form (uncorrected): 0.33 eV per atom
* E_tot: -16.7 eV/cell

18.
Density functional theory data (PBE) for a relaxed structure of K3USe4.

Cell: 8.252 8.252 8.252 Å, 121.95 93.08 114.64°
Atoms (fractional coordinates):
K: 0.000 0.000 0.000
K: 0.223 0.430 0.792
K: 0.638 0.430 0.208
U: 0.456 0.956 0.500
Se: 0.276 0.032 0.755
Se: 0.276 0.521 0.245
Se: 0.373 0.082 0.290
Se: 0.792 0.082 0.710

* E_form (uncorrected): -0.93 eV per atom
* E_tot: -35.9 eV/cell

19.
Density functional theory data (PBE) for a relaxed structure of KMgSeO4.

Cell: 6.049 6.049 6.049 Å, 60.00 60.00 60.00°
Atoms (fractional coordinates):
K: 0.000 0.000 0.000
Mg: 0.750 0.750 0.750
Se: 0.500 0.500 0.500
O: 0.141 0.620 0.620
O: 0.620 0.141 0.620
O: 0.620 0.620 0.141
O: 0.620 0.620 0.620

* E_form (uncorrected): -1.32 eV per atom
* E_tot: -35.3 eV/cell

20.
Density functional theory data (PBE) for a relaxed structure of HoAs2O2.

Cell: 9.953 9.953 9.953 Å, 114.24 114.24 100.31°
Atoms (fractional coordinates):
Ho: 0.000 0.000 0.000
Ho: 0.000 0.000 0.500
Ho: 0.000 0.500 0.000
Ho: 0.500 0.000 0.500
As: 0.087 0.718 0.369
As: 0.151 0.282 0.869
As: 0.282 0.151 0.369
As: 0.282 0.913 0.131
As: 0.718 0.087 0.869
As: 0.718 0.849 0.631
As: 0.849 0.718 0.131
As: 0.913 0.282 0.631
O: 0.105 0.159 0.946
O: 0.159 0.105 0.446
O: 0.159 0.713 0.054
O: 0.287 0.841 0.446
O: 0.713 0.159 0.554
O: 0.841 0.287 0.946
O: 0.841 0.895 0.554
O: 0.895 0.841 0.054

* E_form (uncorrected): -1.15 eV per atom
* E_tot: -118.2 eV/cell

21.
Density functional theory data (PBE) for a relaxed structure of Fe2MoAu.

Cell: 8.782 8.782 8.782 Å, 18.43 18.43 18.43°
Atoms (fractional coordinates):
Fe: 0.246 0.246 0.246
Fe: 0.754 0.754 0.754
Mo: 0.500 0.500 0.500
Au: 0.000 0.000 0.000

* E_form: 0.33 eV per atom
* E_tot: -29.7 eV/cell

22.
Density functional theory data (PBE) for a relaxed structure of Ba2LiZn2S2O2.

Cell: 7.667 7.667 6.366 Å, 93.57 93.57 30.00°
Atoms (fractional coordinates):
Ba: 0.000 0.000 0.000
Ba: 0.659 0.659 0.525
Li: 0.833 0.833 0.334
Zn: 0.271 0.271 0.059
Zn: 0.397 0.397 0.610
S: 0.680 0.680 0.025
S: 0.985 0.985 0.501
O: 0.292 0.292 0.397
O: 0.386 0.386 0.919

* E_form (uncorrected): -1.46 eV per atom
* E_tot: -39.6 eV/cell